The following is a PBE+U calculation of crystalline Mn2InCl2O2 at its relaxed geometry, from Alexandria.

abc: 6.885 6.885 6.173
angles: 111.57 111.57 29.22
Element x y z (fractional)
Mn1 0.247 0.247 0.287
Mn2 0.753 0.753 0.713
In1 0.000 0.000 0.500
Cl1 0.373 0.373 0.030
Cl2 0.627 0.627 0.970
O1 0.168 0.168 0.528
O2 0.832 0.832 0.472

Values from the calculation:
Space group: C2/m (12)
E, Ry per atom: -0.42036